Crystalline NbCo2Sn at its relaxed geometry. Source: Alexandria via LeMat-Bulk, functional PBE.

Lattice parameters (Å, degrees): 4.0258 4.0258 8.7811 76.75 76.75 90.00
Last column: nearest neighbours and their distance in Å.
Fractional positions:
Nb: 0.5000 0.5000 0.0000  4 Co 2.49
Nb: 0.2500 0.7500 0.5000  4 Co 2.49
Co: 0.6040 0.1250 0.2500  2 Nb 2.49, 2 Sn 2.55, 2 Co 2.73
Co: 0.1460 0.6250 0.2500  2 Nb 2.49, 2 Sn 2.55, 2 Co 2.73
Co: 0.3750 0.3960 0.7500  2 Nb 2.49, 2 Sn 2.55, 2 Co 2.73
Co: 0.8750 0.8540 0.7500  2 Nb 2.49, 2 Sn 2.55, 2 Co 2.73
Sn: 0.0000 0.0000 0.0000  4 Co 2.55, 4 Nb 2.85
Sn: 0.7500 0.2500 0.5000  4 Co 2.55, 4 Nb 2.85

Results
ΔE_f (eV/atom): 0.46



Crystalline Fe5Ni at its relaxed geometry. Source: Alexandria via LeMat-Bulk, functional PBE.

Lattice parameters (Å, degrees): 4.6520 4.6520 4.6520 60.00 60.00 60.00
Last column: nearest neighbours and their distance in Å.
Fractional positions:
Fe: 0.2500 0.2500 0.2500  12 Fe 2.73, 4 Ni 2.85
Fe: 0.6245 0.1265 0.6245  6 Fe 2.32-2.34
Fe: 0.1265 0.6245 0.6245  6 Fe 2.32-2.34
Fe: 0.6245 0.6245 0.1265  6 Fe 2.32-2.34
Fe: 0.6245 0.6245 0.6245  6 Fe 2.32-2.34
Ni: 0.0000 0.0000 0.0000  16 Fe 2.73-2.85

Results
ΔE_f (eV/atom): 0.19



Q: The highest ΔE_f belongs to which entry?
A: NbCo2Sn



Q: Which value of ΔE_f does entry 2 give?
A: 0.19 eV/atom